[1]
Compound: Zr4Mn3
Source: Alexandria via LeMat-Bulk
Functional: PBE-GGA
Structure: relaxed

Lattice parameters (Å, degrees): 12.082 12.082 12.082 164.39 164.39 22.15
Positions (direct):
Zr1 0.065 0.065 0.000
Zr2 0.344 0.344 0.000
Zr3 0.656 0.656 0.000
Zr4 0.935 0.935 0.000
Mn1 0.224 0.224 0.000
Mn2 0.500 0.500 0.000
Mn3 0.776 0.776 0.000

Raw total energy = -8.71 eV per atom
Excess energy over the best structure of this formula in the dataset = 0.097 eV/atom
Size of the total moment = 0.940 μB per atom
Formation enthalpy at 0 K = 0.10 eV per atom

***

[2]
Compound: HgB3Ru
Source: Alexandria via LeMat-Bulk
Functional: PBE-GGA
Structure: relaxed

Lattice parameters (Å, degrees): 4.213 4.213 4.213 90.00 90.00 90.00
Positions (direct):
Hg1 0.000 0.000 0.000
B1 0.000 0.000 0.500
B2 0.000 0.500 0.000
B3 0.500 0.000 0.000
Ru1 0.500 0.500 0.500

Raw total energy = -3.23 eV per atom
Excess energy over the best structure of this formula in the dataset = 1.630 eV/atom
Size of the total moment = 0.191 μB per atom
Formation enthalpy at 0 K = 2.69 eV per atom

***

- Look up the excess energy over the best structure of this formula in the dataset of the second one.
  1.630 eV/atom